No. 1
{
  "formula": "LiSmThPd",
  "functional": "PBE",
  "state": "relaxed",
  "delta_e_f_mev_per_atom": -214,
  "sg": "F-43m, No. 216",
  "magmom_total_mub_per_atom": 0.00,
  "rho_g_cm3": 8.536,
  "cell": [[0.000, 3.640, 3.640], [3.640, 0.000, 3.640], [3.640, 3.640, 0.000]],
  "species": ["Li", "Sm", "Th", "Pd"],
  "frac_coords": [[0.000, 0.000, 0.000], [0.750, 0.750, 0.750], [0.250, 0.250, 0.250], [0.500, 0.500, 0.500]]
}

No. 2
{
  "formula": "Pr5ThAg4",
  "functional": "PBE",
  "state": "relaxed",
  "delta_e_f_mev_per_atom": -189,
  "sg": "P4/mmm, No. 123",
  "magmom_total_mub_per_atom": 0.00,
  "rho_g_cm3": 8.012,
  "cell": [[3.737, 0.000, 0.000], [0.000, 3.737, 0.000], [0.000, 0.000, 20.303]],
  "species": ["Pr", "Pr", "Pr", "Pr", "Pr", "Th", "Ag", "Ag", "Ag", "Ag"],
  "frac_coords": [[0.000, 0.000, 0.000], [0.000, 0.000, 0.191], [0.000, 0.000, 0.382], [0.000, 0.000, 0.618], [0.000, 0.000, 0.809], [0.500, 0.500, 0.500], [0.500, 0.500, 0.096], [0.500, 0.500, 0.285], [0.500, 0.500, 0.715], [0.500, 0.500, 0.904]]
}

No. 3
{
  "formula": "CaVC2",
  "functional": "PBE",
  "state": "relaxed",
  "delta_e_f_mev_per_atom": 1226,
  "sg": "Fm-3m, No. 225",
  "magmom_total_mub_per_atom": 0.49,
  "rho_g_cm3": 4.077,
  "cell": [[0.000, 2.861, 2.861], [2.861, 0.000, 2.861], [2.861, 2.861, 0.000]],
  "species": ["Ca", "V", "C", "C"],
  "frac_coords": [[0.000, 0.000, 0.000], [0.500, 0.500, 0.500], [0.250, 0.250, 0.250], [0.750, 0.750, 0.750]]
}

No. 4
{
  "formula": "BeReAu2",
  "functional": "PBE",
  "state": "relaxed",
  "delta_e_f_mev_per_atom": 338,
  "sg": "Cm, No. 8",
  "magmom_total_mub_per_atom": 0.00,
  "rho_g_cm3": 16.165,
  "cell": [[4.777, -1.344, 0.000], [4.777, 1.344, 0.000], [-1.556, 0.000, 4.713]],
  "species": ["Be", "Re", "Au", "Au"],
  "frac_coords": [[0.000, 0.000, 0.000], [0.730, 0.730, 0.146], [0.290, 0.290, 0.697], [0.508, 0.508, 0.431]]
}